(1)
# LiYGe2

A geometry-optimized LiYGe2 structure (PBE, Alexandria via LeMat-Bulk).

The energy relative to the lowest polymorph listed for this composition is 0 meV per atom. The value obtained for the total magnetic moment is 0.0 μB per cell. The calculation puts the density of states at the Fermi level at 6.730 states/eV per cell. The raw total energy comes out at -80.5 eV for the cell shown. The formation enthalpy at 0 K is -0.63 eV/atom. Its space group is Pnma.

abc: 3.8802 7.8484 10.3797
angles: 90.00 90.00 90.00
Closest atoms and distances in Å follow each position.
Atoms (fractional coordinates):
1 Y 0.2500 0.6349 0.6382  8 Ge 3.01-3.26
2 Y 0.2500 0.1349 0.8618  8 Ge 3.01-3.26
3 Y 0.7500 0.3651 0.3618  8 Ge 3.01-3.26
4 Y 0.7500 0.8651 0.1382  8 Ge 3.01-3.26
5 Ge 0.2500 0.6512 0.3111  2 Li 2.52-2.74, 2 Ge 2.52
6 Ge 0.2500 0.2329 0.5602  2 Ge 2.52, 3 Li 2.61
7 Ge 0.7500 0.3488 0.6889  2 Li 2.52-2.74, 2 Ge 2.52
8 Ge 0.7500 0.7671 0.4398  2 Ge 2.52, 3 Li 2.61
9 Ge 0.2500 0.1512 0.1889  2 Li 2.52-2.74, 2 Ge 2.52
10 Ge 0.2500 0.7329 0.9398  2 Ge 2.52, 3 Li 2.61
11 Ge 0.7500 0.8488 0.8111  2 Li 2.52-2.74, 2 Ge 2.52
12 Ge 0.7500 0.2671 0.0602  2 Ge 2.52, 3 Li 2.61
13 Li 0.2500 0.4824 0.1045  5 Ge 2.52-2.74
14 Li 0.7500 0.0176 0.6045  5 Ge 2.52-2.74
15 Li 0.7500 0.5176 0.8955  5 Ge 2.52-2.74
16 Li 0.2500 0.9824 0.3955  5 Ge 2.52-2.74

---

(2)
# YHf2V2

A geometry-optimized YHf2V2 structure (PBE, Alexandria via LeMat-Bulk).

The value obtained for the total magnetic moment is 0.0 μB per cell. The calculation puts the density of states at the Fermi level at 13.978 states/eV per cell. The raw total energy comes out at -86.7 eV for the cell shown. The formation enthalpy at 0 K is 0.25 eV/atom. Its space group is P4/mbm.

abc: 7.8278 7.8278 3.3688
angles: 90.00 90.00 90.00
Closest atoms and distances in Å follow each position.
Atoms (fractional coordinates):
1 Hf 0.8238 0.3238 0.5000  6 V 2.85-2.91
2 Hf 0.6762 0.8238 0.5000  6 V 2.85-2.91
3 Hf 0.1762 0.6762 0.5000  6 V 2.85-2.91
4 Hf 0.3238 0.1762 0.5000  6 V 2.85-2.91
5 V 0.1093 0.3907 0.0000  1 V 2.42
6 V 0.6093 0.1093 0.0000  1 V 2.42
7 V 0.3907 0.8907 0.0000  1 V 2.42
8 V 0.8907 0.6093 0.0000  1 V 2.42
9 Y 0.0000 0.0000 0.0000  4 V 3.18, 8 Hf 3.34, 2 Y 3.37
10 Y 0.5000 0.5000 0.0000  4 V 3.18, 8 Hf 3.34, 2 Y 3.37

---

(3)
# ScV2SnB

A geometry-optimized ScV2SnB structure (PBE, Alexandria via LeMat-Bulk).

The value obtained for the total magnetic moment is 5.7 μB per cell. The calculation puts the density of states at the Fermi level at 3.631 states/eV per cell. The raw total energy comes out at -27.7 eV for the cell shown. The formation enthalpy at 0 K is 1.51 eV/atom. Its space group is P4/mmm.

abc: 5.0702 4.1940 5.0702
angles: 90.00 90.00 90.00
Closest atoms and distances in Å follow each position.
Atoms (fractional coordinates):
1 Sn 0.0000 0.0000 0.0000  2 B 2.10
2 B 0.0000 0.5000 0.0000  2 Sn 2.10
3 Sc 0.5000 0.5000 0.5000  8 V 3.29, 4 B 3.59
4 V 0.0000 0.0000 0.5000  2 Sn 2.54
5 V 0.5000 0.0000 0.0000  2 Sn 2.54